[1]
Density functional theory data (PBE-GGA) for crystalline CdNi2Pb at its relaxed geometry.

Properties
For the total magnetization, the calculation gives 0.0 μB per cell. As for the distance to the lowest polymorph of the same formula: 5.8 kJ per mole of atoms. The calculation puts the total energy at -3.8466 eV per atom.

The structure in CIF format:
```
data_CdNi2Pb
_chemical_formula_sum 'Cd1 Ni2 Pb1'
_cell_length_a 3.244
_cell_length_b 3.313
_cell_length_c 6.239
_cell_angle_alpha 90.00
_cell_angle_beta 90.00
_cell_angle_gamma 90.00
_symmetry_space_group_name_H-M 'P m m m'
_symmetry_Int_Tables_number 47
_symmetry_space_group_name_Hall '-P 2 2'
loop_
_atom_site_label
_atom_site_fract_x
_atom_site_fract_y
_atom_site_fract_z
_atom_site_occupancy
Cd1 0.000 0.000 0.000 1
Ni1 0.500 0.500 0.242 1
Pb1 0.000 0.000 0.500 1
```

[2]
Density functional theory data (PBE-GGA) for crystalline CdNi3Pb at its relaxed geometry.

Properties
For the total magnetization, the calculation gives 0.6 μB per cell. As for the distance to the lowest polymorph of the same formula: 0.0 kJ per mole of atoms. The calculation puts the total energy at -3.3487 eV per atom.

The structure in CIF format:
```
data_CdNi3Pb
_chemical_formula_sum 'Cd1 Ni3 Pb1'
_cell_length_a 4.716
_cell_length_b 4.716
_cell_length_c 4.716
_cell_angle_alpha 90.00
_cell_angle_beta 90.00
_cell_angle_gamma 90.00
_symmetry_space_group_name_H-M 'P m -3 m'
_symmetry_Int_Tables_number 221
_symmetry_space_group_name_Hall '-P 4 2 3'
loop_
_atom_site_label
_atom_site_fract_x
_atom_site_fract_y
_atom_site_fract_z
_atom_site_occupancy
Cd1 0.000 0.000 0.000 1
Ni1 0.000 0.000 0.500 1
Pb1 0.500 0.500 0.500 1
```

[3]
Density functional theory data (PBE-GGA) for crystalline Cd2NiPb2 at its relaxed geometry.

Properties
For the total magnetization, the calculation gives 0.0 μB per cell. As for the distance to the lowest polymorph of the same formula: 38.7 kJ per mole of atoms. The calculation puts the total energy at -2.3476 eV per atom.

The structure in CIF format:
```
data_Cd2NiPb2
_chemical_formula_sum 'Cd4 Ni2 Pb4'
_cell_length_a 4.324
_cell_length_b 4.324
_cell_length_c 14.814
_cell_angle_alpha 90.00
_cell_angle_beta 90.00
_cell_angle_gamma 90.00
_symmetry_space_group_name_H-M 'I 4/m m m'
_symmetry_Int_Tables_number 139
_symmetry_space_group_name_Hall '-I 4 2'
loop_
_atom_site_label
_atom_site_fract_x
_atom_site_fract_y
_atom_site_fract_z
_atom_site_occupancy
Cd1 0.000 0.000 0.090 1
Ni1 0.000 0.000 0.500 1
Pb1 0.000 0.500 0.250 1
```

[4]
Density functional theory data (PBE-GGA) for crystalline CdNi2Pb2 at its relaxed geometry.

Properties
For the total magnetization, the calculation gives 0.0 μB per cell. As for the distance to the lowest polymorph of the same formula: 23.4 kJ per mole of atoms. The calculation puts the total energy at -3.5878 eV per atom.

The structure in CIF format:
```
data_CdNi2Pb2
_chemical_formula_sum 'Cd2 Ni4 Pb4'
_cell_length_a 4.586
_cell_length_b 4.586
_cell_length_c 10.588
_cell_angle_alpha 90.00
_cell_angle_beta 90.00
_cell_angle_gamma 90.00
_symmetry_space_group_name_H-M 'I 4/m m m'
_symmetry_Int_Tables_number 139
_symmetry_space_group_name_Hall '-I 4 2'
loop_
_atom_site_label
_atom_site_fract_x
_atom_site_fract_y
_atom_site_fract_z
_atom_site_occupancy
Cd1 0.000 0.000 0.000 1
Ni1 0.000 0.000 0.391 1
Pb1 0.000 0.500 0.250 1
```